Density functional theory data (GGA-PBE) for a relaxed structure of Ba2TlPd.

Calculated values
Volume   36.7 A^3/atom
Calculated total energy   -26.23 eV per cell
DOS(E_F)   4.97 states/eV/cell
E above lowest polymorph   0 meV per atom
Energy of formation from the pure elements   -427.2 meV per atom
Calculated density   6.62 Mg/m³

Lattice parameters (Å, degrees): 6.7389 4.5879 9.8702 90.00 105.71 90.00
Space group P2_1/m (No. 11)
Unique sites:
Ba 0.1950 0.2500 0.4158 [2 per cell]
Ba 0.2727 0.7500 0.0581 [2 per cell]
Tl 0.3497 0.7500 0.7174 [2 per cell]
Pd 0.1372 0.2500 0.7886 [2 per cell]

***

Density functional theory data (GGA-PBE) for a relaxed structure of Ba12TlPd6.

Calculated values
Volume   41.0 A^3/atom
Calculated total energy   -128.34 eV per cell
DOS(E_F)   32.18 states/eV/cell
Energy of formation from the pure elements   -398.6 meV per atom
Calculated density   5.31 Mg/m³

Lattice parameters (Å, degrees): 11.5942 11.5942 11.5942 90.00 90.00 90.00
Space group Im-3 (No. 204)
Unique sites:
Ba 0.0000 0.3117 0.1806 [24 per cell]
Tl 0.0000 0.0000 0.0000 [2 per cell]
Pd 0.0000 0.1195 0.5000 [12 per cell]

***

Density functional theory data (GGA-PBE) for a relaxed structure of Ba8Tl2Pd.

Calculated values
Volume   52.1 A^3/atom
Calculated total energy   -56.12 eV per cell
DOS(E_F)   20.71 states/eV/cell
E above lowest polymorph   0 meV per atom
Energy of formation from the pure elements   -250.1 meV per atom
Calculated density   4.67 Mg/m³

Lattice parameters (Å, degrees): 25.4415 4.6813 9.6332 90.00 91.03 90.00
Space group C2/m (No. 12)
Unique sites:
Ba 0.0109 0.0000 0.2227 [4 per cell]
Ba 0.1064 0.5000 0.5196 [4 per cell]
Ba 0.1259 0.5000 0.9939 [4 per cell]
Ba 0.2399 0.0000 0.7104 [4 per cell]
Tl 0.1567 0.0000 0.2709 [4 per cell]
Pd 0.0000 0.5000 0.0000 [2 per cell]

***

Density functional theory data (GGA-PBE) for a relaxed structure of BaTlPd.

Calculated values
Volume   31.2 A^3/atom
Calculated total energy   -10.83 eV per cell
DOS(E_F)   2.92 states/eV/cell
Energy of formation from the pure elements   -449.8 meV per atom
Calculated density   7.96 Mg/m³

Lattice parameters (Å, degrees): 4.8652 4.8652 4.5624 90.00 90.00 120.00
Space group P-6m2 (No. 187)
Unique sites:
Ba 0.0000 0.0000 0.0000 [1 per cell]
Tl 0.6667 0.3333 0.5000 [1 per cell]
Pd 0.3333 0.6667 0.5000 [1 per cell]

***

Density functional theory data (GGA-PBE) for a relaxed structure of Ba2TlPd.

Calculated values
Volume   34.8 A^3/atom
Calculated total energy   -50.71 eV per cell
DOS(E_F)   17.82 states/eV/cell
E above lowest polymorph   109 meV per atom
Energy of formation from the pure elements   -318.1 meV per atom
Calculated density   6.99 Mg/m³

Lattice parameters (Å, degrees): 8.2249 8.2249 8.2249 90.00 90.00 90.00
Space group Fm-3m (No. 225)
Unique sites:
Ba 0.2500 0.2500 0.2500 [8 per cell]
Tl 0.0000 0.0000 0.0000 [4 per cell]
Pd 0.0000 0.0000 0.5000 [4 per cell]

***

Density functional theory data (GGA-PBE) for a relaxed structure of BaTl2Pd.

Calculated values
Volume   27.8 A^3/atom
Calculated total energy   -50.41 eV per cell
DOS(E_F)   8.13 states/eV/cell
Energy of formation from the pure elements   -188.5 meV per atom
Calculated density   9.74 Mg/m³

Lattice parameters (Å, degrees): 7.6344 7.6344 7.6344 90.00 90.00 90.00
Space group Fm-3m (No. 225)
Unique sites:
Ba 0.0000 0.0000 0.0000 [4 per cell]
Tl 0.2500 0.2500 0.2500 [8 per cell]
Pd 0.0000 0.0000 0.5000 [4 per cell]

***

Density functional theory data (GGA-PBE) for a relaxed structure of BaTlPd4.

Calculated values
Volume   20.8 A^3/atom
Calculated total energy   -109.40 eV per cell
DOS(E_F)   18.59 states/eV/cell
E above lowest polymorph   0 meV per atom
Energy of formation from the pure elements   -381.8 meV per atom
Calculated density   10.23 Mg/m³

Lattice parameters (Å, degrees): 7.9271 7.9271 7.9271 90.00 90.00 90.00
Space group F-43m (No. 216)
Unique sites:
Ba 0.0000 0.0000 0.0000 [4 per cell]
Tl 0.2500 0.2500 0.7500 [4 per cell]
Pd 0.1243 0.1243 0.3757 [16 per cell]

***

Density functional theory data (GGA-PBE) for a relaxed structure of Ba2Tl2Pd15.

Calculated values
Volume   19.1 A^3/atom
Calculated total energy   -272.62 eV per cell
DOS(E_F)   62.58 states/eV/cell
Energy of formation from the pure elements   -231.8 meV per atom
Calculated density   10.44 Mg/m³

Lattice parameters (Å, degrees): 9.4936 9.4936 13.9313 90.00 90.00 120.00
Space group R-3m (No. 166, hexagonal axes)
Unique sites:
Ba 0.0000 0.0000 0.1484 [6 per cell]
Tl 0.0000 0.0000 0.3946 [6 per cell]
Pd 0.0000 0.2966 0.5000 [18 per cell]
Pd 0.0000 0.5000 0.0000 [9 per cell]
Pd 0.0004 0.5002 0.3454 [18 per cell]

***

Density functional theory data (GGA-PBE) for a relaxed structure of BaTl2Pd2.

Calculated values
Volume   24.7 A^3/atom
Calculated total energy   -35.95 eV per cell
DOS(E_F)   4.52 states/eV/cell
Energy of formation from the pure elements   -186.7 meV per atom
Calculated density   10.22 Mg/m³

Lattice parameters (Å, degrees): 8.5231 8.5231 3.3939 90.00 90.00 90.00
Space group P4/mbm (No. 127)
Unique sites:
Ba 0.0000 0.0000 0.0000 [2 per cell]
Tl 0.1239 0.3761 0.0000 [4 per cell]
Pd 0.1768 0.6768 0.5000 [4 per cell]

***

Density functional theory data (GGA-PBE) for a relaxed structure of BaTl4Pd2.

Calculated values
Volume   27.6 A^3/atom
Calculated total energy   -46.98 eV per cell
DOS(E_F)   7.52 states/eV/cell
E above lowest polymorph   52 meV per atom
Energy of formation from the pure elements   -245.2 meV per atom
Calculated density   10.03 Mg/m³

Lattice parameters (Å, degrees): 4.7704 17.2795 4.6919 90.00 90.00 90.00
Space group Cmmm (No. 65)
Unique sites:
Ba 0.0000 0.0000 0.0000 [2 per cell]
Tl 0.0000 0.1737 0.5000 [4 per cell]
Tl 0.0000 0.3242 0.0000 [4 per cell]
Pd 0.0000 0.4223 0.5000 [4 per cell]

***

Density functional theory data (GGA-PBE) for a relaxed structure of Ba5TlPd2.

Calculated values
Volume   39.5 A^3/atom
Calculated total energy   -103.00 eV per cell
DOS(E_F)   25.66 states/eV/cell
Energy of formation from the pure elements   -423.0 meV per atom
Calculated density   5.80 Mg/m³

Lattice parameters (Å, degrees): 8.8221 8.8221 16.2316 90.00 90.00 90.00
Space group I4/mcm (No. 140)
Unique sites:
Ba 0.0000 0.0000 0.0000 [4 per cell]
Ba 0.1701 0.3299 0.1351 [16 per cell]
Tl 0.0000 0.0000 0.2500 [4 per cell]
Pd 0.1193 0.3807 0.5000 [8 per cell]

***

Density functional theory data (GGA-PBE) for a relaxed structure of Ba4Tl3Pd2.

Calculated values
Volume   35.6 A^3/atom
Calculated total energy   -57.51 eV per cell
DOS(E_F)   11.95 states/eV/cell
Energy of formation from the pure elements   -397.7 meV per atom
Calculated density   7.12 Mg/m³

Lattice parameters (Å, degrees): 18.3864 4.5069 8.3600 90.00 112.23 90.00
Space group C2/m (No. 12)
Unique sites:
Ba 0.0708 0.0000 0.3647 [4 per cell]
Ba 0.2242 0.5000 0.1802 [4 per cell]
Tl 0.0000 0.5000 0.0000 [2 per cell]
Tl 0.1019 0.5000 0.7252 [4 per cell]
Pd 0.0978 0.0000 0.9473 [4 per cell]

***

Density functional theory data (GGA-PBE) for a relaxed structure of Ba2Tl5Pd5.

Calculated values
Volume   25.3 A^3/atom
Calculated total energy   -45.46 eV per cell
DOS(E_F)   5.01 states/eV/cell
Energy of formation from the pure elements   -318.1 meV per atom
Calculated density   10.00 Mg/m³

Lattice parameters (Å, degrees): 4.4665 6.0741 11.1980 90.00 90.00 90.00
Space group Pmmm (No. 47)
Unique sites:
Ba 0.0000 0.0000 0.0000 [1 per cell]
Ba 0.0000 0.5000 0.5000 [1 per cell]
Tl 0.0000 0.0000 0.3066 [2 per cell]
Tl 0.0000 0.5000 0.1620 [2 per cell]
Tl 0.5000 0.0000 0.5000 [1 per cell]
Pd 0.5000 0.2522 0.2325 [4 per cell]
Pd 0.5000 0.5000 0.0000 [1 per cell]

***

Density functional theory data (GGA-PBE) for a relaxed structure of Ba2Tl5Pd4.

Calculated values
Volume   25.9 A^3/atom
Calculated total energy   -79.18 eV per cell
DOS(E_F)   12.06 states/eV/cell
E above lowest polymorph   27 meV per atom
Energy of formation from the pure elements   -285.7 meV per atom
Calculated density   10.03 Mg/m³

Lattice parameters (Å, degrees): 13.4494 6.2967 9.4110 90.00 134.34 90.00
Space group C2/m (No. 12)
Unique sites:
Ba 0.2170 0.0000 0.2167 [4 per cell]
Tl 0.0003 0.2468 0.3185 [8 per cell]
Tl 0.0000 0.5000 0.0000 [2 per cell]
Pd 0.2452 0.5000 0.4055 [4 per cell]
Pd 0.2460 0.5000 0.0864 [4 per cell]

***

Density functional theory data (GGA-PBE) for a relaxed structure of BaTl2Pd2.

Calculated values
Volume   25.6 A^3/atom
Calculated total energy   -36.49 eV per cell
DOS(E_F)   6.49 states/eV/cell
Energy of formation from the pure elements   -240.5 meV per atom
Calculated density   9.86 Mg/m³

Lattice parameters (Å, degrees): 8.0841 8.0841 3.9110 90.00 90.00 90.00
Space group P4/mbm (No. 127)
Unique sites:
Ba 0.0000 0.0000 0.0000 [2 per cell]
Tl 0.1486 0.3514 0.5000 [4 per cell]
Pd 0.1259 0.6259 0.0000 [4 per cell]

***

Density functional theory data (GGA-PBE) for a relaxed structure of Ba3Tl2Pd3.

Calculated values
Volume   30.2 A^3/atom
Calculated total energy   -119.96 eV per cell
DOS(E_F)   20.62 states/eV/cell
Energy of formation from the pure elements   -488.8 meV per atom
Calculated density   7.83 Mg/m³

Lattice parameters (Å, degrees): 4.6896 12.9696 15.8899 90.00 90.00 90.00
Space group Cmcm (No. 63)
Unique sites:
Ba 0.0000 0.0744 0.1111 [8 per cell]
Ba 0.0000 0.3508 0.2500 [4 per cell]
Tl 0.0000 0.2179 0.5833 [8 per cell]
Pd 0.0000 0.3209 0.7500 [4 per cell]
Pd 0.0000 0.3988 0.0354 [8 per cell]

***

Density functional theory data (GGA-PBE) for a relaxed structure of Ba2Tl5Pd3.

Calculated values
Volume   27.1 A^3/atom
Calculated total energy   -139.63 eV per cell
DOS(E_F)   21.83 states/eV/cell
E above lowest polymorph   0 meV per atom
Energy of formation from the pure elements   -365.1 meV per atom
Calculated density   9.92 Mg/m³

Lattice parameters (Å, degrees): 4.8824 28.0470 7.9032 90.00 90.00 90.00
Space group Cmc2_1 (No. 36)
Unique sites:
Ba 0.0000 0.0256 0.0000 [4 per cell]
Ba 0.0000 0.3249 0.0643 [4 per cell]
Tl 0.0000 0.0979 0.3724 [4 per cell]
Tl 0.0000 0.2050 0.8723 [4 per cell]
Tl 0.0000 0.2102 0.2703 [4 per cell]
Tl 0.0000 0.3727 0.5332 [4 per cell]
Tl 0.0000 0.4477 0.1751 [4 per cell]
Pd 0.0000 0.1088 0.7417 [4 per cell]
Pd 0.0000 0.2711 0.5781 [4 per cell]
Pd 0.0000 0.4513 0.7944 [4 per cell]

***

Density functional theory data (GGA-PBE) for a relaxed structure of Ba2TlPd.

Calculated values
Volume   34.7 A^3/atom
Calculated total energy   -13.01 eV per cell
DOS(E_F)   3.12 states/eV/cell
E above lowest polymorph   25 meV per atom
Energy of formation from the pure elements   -402.2 meV per atom
Calculated density   7.01 Mg/m³

Lattice parameters (Å, degrees): 3.9334 3.9334 8.9671 90.00 90.00 90.00
Space group P4/mmm (No. 123)
Unique sites:
Ba 0.0000 0.0000 0.2154 [2 per cell]
Tl 0.5000 0.5000 0.5000 [1 per cell]
Pd 0.5000 0.5000 0.0000 [1 per cell]

***

Density functional theory data (GGA-PBE) for a relaxed structure of BaTl4Pd.

Calculated values
Volume   29.2 A^3/atom
Calculated total energy   -36.43 eV per cell
DOS(E_F)   6.66 states/eV/cell
Energy of formation from the pure elements   -272.8 meV per atom
Calculated density   10.05 Mg/m³

Lattice parameters (Å, degrees): 8.6940 4.7744 8.4481 90.00 90.00 90.00
Space group Pmma (No. 51)
Unique sites:
Ba 0.2500 0.0000 0.1112 [2 per cell]
Tl 0.0000 0.0000 0.5000 [2 per cell]
Tl 0.0643 0.5000 0.8053 [4 per cell]
Tl 0.2500 0.5000 0.4452 [2 per cell]
Pd 0.2500 0.0000 0.7111 [2 per cell]

***

Density functional theory data (GGA-PBE) for a relaxed structure of BaTl6Pd12.

Calculated values
Volume   20.9 A^3/atom
Calculated total energy   -243.19 eV per cell
DOS(E_F)   16.88 states/eV/cell
Energy of formation from the pure elements   -138.4 meV per atom
Calculated density   11.06 Mg/m³

Lattice parameters (Å, degrees): 12.1573 12.1573 9.2904 90.00 90.00 120.00
Space group R-3m (No. 166, hexagonal axes)
Unique sites:
Ba 0.0000 0.0000 0.0000 [3 per cell]
Tl 0.0501 0.5251 0.2442 [18 per cell]
Pd 0.0000 0.3881 0.5000 [18 per cell]
Pd 0.0819 0.1637 0.2998 [18 per cell]